Density functional theory data (PBE) for crystalline UIn at its relaxed geometry.

Unit cell a=4.457 b=4.457 c=4.457 alpha=60.00 beta=60.00 gamma=60.00
Site moments in Bohr magnetons follow the coordinates.
Fractional coordinates of all 2 atoms:
1 In 0.000 0.000 0.000  0.05
2 U 0.500 0.500 0.500  2.42

Properties
Space-group type: Fm-3m
Electronic total energy (eV per cell): -11.9